# PuThI2 (GGA-PBE, relaxed)
# N(E_F) = 34.3 states/eV per cell
# E_tot = -6.6661 eV per atom
# Total magnetization = 6.918 μB per formula unit
data_PuThI2
_space_group_name_H-M_alt 'R -3 m'
_space_group_IT_number 166
_space_group_name_Hall '-R 3 2"'
_cell_length_a 3.7997
_cell_length_b 3.7997
_cell_length_c 33.8494
_cell_angle_alpha 90.00
_cell_angle_beta 90.00
_cell_angle_gamma 120.00
loop_
_atom_site_label
_atom_site_type_symbol
_atom_site_fract_x
_atom_site_fract_y
_atom_site_fract_z
Pu1 Pu 0.0000 0.0000 0.0000
Th1 Th 0.0000 0.0000 0.5000
I1 I 0.0000 0.0000 0.0965